Material: CsZnCo3
Method: DFT, PBE-GGA
State: optimized geometry

Cell and atoms, written as POSCAR:
```
CsZnCo3
1.0
4.7549 0.0000 0.0000
0.0000 4.7549 0.0000
0.0000 0.0000 4.7549
Cs Zn Co
1 1 3
Direct
0.0000 0.0000 0.0000
0.5000 0.5000 0.5000
0.0000 0.0000 0.5000
0.0000 0.5000 0.0000
0.5000 0.0000 0.0000
```

## Properties
ρ	5.794	g cm⁻³
distance to the lowest polymorph of the same formula	1054	meV/atom
total moment	0.659	μB/atom
energy relative to the elements	55.7	kcal/mol of atoms